## Mn2In2Pt (GGA-PBE)

Data for an optimized crystal structure of Mn2In2Pt.

Geometry as POSCAR:
```
Mn2In2Pt
1.0
3.165 0.000 0.000
0.000 3.165 0.000
1.583 1.583 8.377
Mn Pt In
2 1 2
Cartesian
3.165 1.583 4.189
1.583 3.165 4.189
0.000 0.000 0.000
1.583 1.583 1.827
3.165 3.165 6.550
```

Summary:
Excess energy over the best structure of this formula in the dataset (meV/atom): 77
ΔH_f (0 K) (eV per atom): 0.227
Calculated total energy (eV per cell): -28.721

***

## Mn2InPt8 (GGA-PBE)

Data for an optimized crystal structure of Mn2InPt8.

Geometry as POSCAR:
```
Mn2InPt8
1.0
3.865 0.000 -1.176
-1.092 6.315 -3.587
0.114 -0.096 7.314
Mn In Pt
2 1 8
Cartesian
0.008 4.287 0.026
2.880 1.932 2.525
1.933 0.000 -0.588
1.629 5.583 -1.585
0.765 3.492 2.514
0.468 0.954 1.537
-0.332 1.921 -1.091
2.421 5.265 1.015
2.123 2.727 0.037
1.259 0.635 4.137
3.220 4.298 3.642
```

Summary:
ΔH_f (0 K) (eV per atom): -0.225
Calculated total energy (eV per cell): -71.880

***

## MnInPt (GGA-PBE)

Data for an optimized crystal structure of MnInPt.

Geometry as POSCAR:
```
MnInPt
1.0
-2.174 4.451 -0.537
-2.716 1.073 -4.038
0.441 -3.605 3.411
In Mn Pt
1 1 1
Cartesian
-0.010 0.011 -0.009
-1.587 1.793 -1.485
-3.293 3.720 -3.081
```

Summary:
ΔH_f (0 K) (eV per atom): -0.214
Calculated total energy (eV per cell): -18.591

***

The evaluated volume for the records listed, in turn: 16.783 16.176 17.333 A^3/atom.